Record 1
BaCrSe2N (GGA-PBEsol, relaxed); formation energy (no corrections) = 1.3120 eV/atom; size of the total moment = 6.22 μB per formula unit; volume = 176 Å³ per cell
1.0
5.958 0.000 0.000
0.000 5.958 0.000
0.000 0.000 4.966
Ba Cr Se N
1 1 2 1
Cartesian
0.000 0.000 0.000
2.979 2.979 2.483
0.000 2.979 0.000
2.979 0.000 0.000
0.000 0.000 2.483

Record 2
RbEr2Cu3Se5 (GGA-PBEsol, relaxed); formation energy (no corrections) = -1.1213 eV/atom; size of the total moment = 0.00 μB per formula unit; volume = 479 Å³ per cell
1.0
2.017 -7.108 0.000
2.017 7.108 0.000
0.000 0.000 16.713
Rb Er Cu Se
2 4 6 10
Cartesian
2.017 6.250 12.534
2.017 -6.250 4.178
2.017 4.373 1.541
2.017 4.373 6.816
2.017 -4.373 9.897
2.017 -4.373 15.172
2.017 2.243 12.534
2.017 1.214 0.472
2.017 1.214 7.884
2.017 -1.214 8.828
2.017 -1.214 16.241
2.017 -2.243 4.178
2.017 4.753 9.566
2.017 4.753 15.503
2.017 3.593 4.178
2.017 0.836 10.322
2.017 0.836 14.747
2.017 -0.836 1.965
2.017 -0.836 6.391
2.017 -3.593 12.534
2.017 -4.753 1.210
2.017 -4.753 7.146

Record 3
LiCo2Ge (GGA-PBEsol, relaxed); energy of formation = 323 meV/atom; size of the total moment = 1.96 μB per formula unit; volume = 99 Å³ per cell
1.0
-3.185 3.185 2.431
3.185 -3.185 2.431
3.185 3.185 -2.431
Li Co Ge
2 4 2
Cartesian
0.000 0.000 0.000
0.000 3.185 1.216
1.592 -1.518 1.824
1.667 1.592 0.608
1.592 4.703 -0.608
1.518 1.592 3.039
3.185 0.000 1.216
0.000 0.000 2.431

Q: Which of these has the lowest size of the total moment?
A: RbEr2Cu3Se5

Q: What is the size of the total moment in the third record?
A: 1.96 μB per formula unit

Q: The highest volume belongs to which entry?
A: RbEr2Cu3Se5